Record 1
{"formula": "CaCd2Sb2", "functional": "PBE", "state": "relaxed", "lattice": [[-8.220, -0.184, -1.687], [-0.713, -7.199, 4.256], [-0.703, 1.968, 3.210]], "species": ["Sb", "Sb", "Sb", "Sb", "Ca", "Ca", "Cd", "Cd", "Cd", "Cd"], "frac_coords": [[0.183, 0.683, 0.500], [0.683, 0.817, 0.500], [0.817, 0.317, 0.500], [0.317, 0.183, 0.500], [0.000, 0.000, 0.000], [0.500, 0.500, 0.000], [0.380, 0.880, 0.000], [0.880, 0.620, 0.000], [0.620, 0.120, 0.000], [0.120, 0.380, 0.000]], "e_form_raw_ev_per_atom": -0.24, "polymorph_energy_ev_per_atom": 0.229, "crystal_system": "tetragonal", "dft_energy_ev_per_atom": -2.651}



Record 2
{"formula": "Ca2CdSb", "functional": "PBE", "state": "relaxed", "lattice": [[-1.070, -3.781, -4.031], [-2.447, -5.006, 0.797], [-4.922, -0.534, -1.540]], "species": ["Sb", "Ca", "Ca", "Cd"], "frac_coords": [[0.750, 0.750, 0.750], [0.000, 0.000, 0.000], [0.500, 0.500, 0.500], [0.250, 0.250, 0.250]], "e_form_raw_ev_per_atom": -0.62, "polymorph_energy_ev_per_atom": 0.076, "crystal_system": "monoclinic", "dft_energy_ev_per_atom": -2.877}



> Number 1 is which compound?

CaCd2Sb2